# 1
AgAsC3: relaxed, PBE-GGA.

Calculated values
The space-group type is Pm-3m, No. 221. The formation energy is 2.66 eV per atom. Its crystal system is cubic.

a b c (Å): 3.9635 3.9635 3.9635
angles (deg): 90.00 90.00 90.00
Positions (direct):
Ag  0.0000  0.0000  0.0000
As  0.5000  0.5000  0.5000
C  0.0000  0.5000  0.5000
C  0.5000  0.0000  0.5000
C  0.5000  0.5000  0.0000

---

# 2
AgAs3C: relaxed, PBE-GGA.

Calculated values
The space-group type is Pm-3m, No. 221. The formation energy is 1.06 eV per atom. Its crystal system is cubic.

a b c (Å): 4.4075 4.4075 4.4075
angles (deg): 90.00 90.00 90.00
Positions (direct):
Ag  0.0000  0.0000  0.0000
As  0.0000  0.5000  0.5000
As  0.5000  0.0000  0.5000
As  0.5000  0.5000  0.0000
C  0.5000  0.5000  0.5000

---

# 3
AgAsC2: relaxed, PBE-GGA.

Calculated values
The space-group type is I-42d, No. 122. The formation energy is 1.42 eV per atom. Its crystal system is tetragonal.

a b c (Å): 5.5697 5.5697 5.5697
angles (deg): 126.36 126.36 79.30
Positions (direct):
Ag  0.0000  0.0000  0.0000
Ag  0.7500  0.2500  0.5000
As  0.2500  0.7500  0.5000
As  0.5000  0.5000  0.0000
C  0.1700  0.6250  0.0450
C  0.3750  0.4200  0.5450
C  0.5800  0.1250  0.9550
C  0.8750  0.8300  0.4550

---

# 4
Cs2AgAsC: relaxed, PBE-GGA.

Calculated values
The space-group type is P4/mmm, No. 123. The formation energy is 0.81 eV per atom. Its crystal system is tetragonal.

a b c (Å): 6.8144 6.8144 3.9141
angles (deg): 90.00 90.00 90.00
Positions (direct):
Cs  0.0000  0.5000  0.0000
Cs  0.5000  0.0000  0.0000
Ag  0.0000  0.0000  0.5000
As  0.5000  0.5000  0.5000
C  0.0000  0.0000  0.0000